TiMn2O4 | PBE with a Hubbard U | relaxed

**E above lowest polymorph**: 0.347 eV per atom
**ρ**: 4.7 g cm⁻³
**SG**: Cmmm (65)
**Final energy**: -8.0214 eV per atom

a b c (Å): 5.497 5.497 6.050
angles (deg): 90.00 90.00 120.76
Site moments in Bohr magnetons follow the coordinates.
Sites, in units of the cell vectors:
Ti: 0.500 0.500 0.250  0.33
Ti: 0.500 0.500 0.750  0.33
Mn: 0.177 0.823 0.000  4.55
Mn: 0.823 0.177 0.000  4.55
Mn: 0.177 0.823 0.500  4.55
Mn: 0.823 0.177 0.500  4.55
O: 0.731 0.731 0.000  0.00
O: 0.269 0.269 0.000  0.00
O: 0.269 0.269 0.500  0.00
O: 0.731 0.731 0.500  0.00
O: 0.500 0.000 0.250  0.04
O: 0.000 0.500 0.250  0.04
O: 0.500 0.000 0.750  0.04
O: 0.000 0.500 0.750  0.04